Record 1
VASP calculation (PBE-GGA) on an optimized crystal structure of WSe2IN.

Cell lengths 5.164, 5.164, 3.872 Å; angles 90.00, 90.00, 90.00 degrees
Positions (direct):
W: 0.000 0.000 0.000
Se: 0.000 0.500 0.000
Se: 0.500 0.000 0.000
I: 0.500 0.500 0.500
N: 0.000 0.000 0.500

Results
Uncorrected formation energy in eV per atom: 0.329
Energy in eV per atom: -5.631
Magnetic moment in μB per cell: 0.00
Energy relative to the lowest polymorph listed for this composition in meV per atom: 0

---

Record 2
VASP calculation (PBE-GGA) on an optimized crystal structure of WSeIN2.

Cell lengths 3.880, 3.880, 7.043 Å; angles 90.00, 90.00, 90.00 degrees
Positions (direct):
W: 0.000 0.000 0.000
Se: 0.500 0.500 0.500
I: 0.500 0.500 0.000
N: 0.000 0.500 0.500
N: 0.500 0.000 0.500

Results
Uncorrected formation energy in eV per atom: 2.377
Energy in eV per atom: -4.550
Magnetic moment in μB per cell: 3.96
Energy relative to the lowest polymorph listed for this composition in meV per atom: 1797

---

Record 3
VASP calculation (PBE-GGA) on an optimized crystal structure of YSeI2N.

Cell lengths 6.201, 6.201, 3.733 Å; angles 90.00, 90.00, 90.00 degrees
Positions (direct):
Y: 0.000 0.000 0.000
Se: 0.500 0.500 0.500
I: 0.000 0.500 0.500
I: 0.500 0.000 0.500
N: 0.500 0.500 0.000

Results
Uncorrected formation energy in eV per atom: 0.414
Energy in eV per atom: -3.861
Magnetic moment in μB per cell: 0.00
Energy relative to the lowest polymorph listed for this composition in meV per atom: 170

---

Record 4
VASP calculation (PBE-GGA) on an optimized crystal structure of YSeIN2.

Cell lengths 4.595, 4.595, 5.981 Å; angles 90.00, 90.00, 90.00 degrees
Positions (direct):
Y: 0.000 0.000 0.000
Se: 0.000 0.000 0.500
I: 0.500 0.500 0.500
N: 0.000 0.500 0.000
N: 0.500 0.000 0.000

Results
Uncorrected formation energy in eV per atom: 0.734
Energy in eV per atom: -4.896
Magnetic moment in μB per cell: 3.90
Energy relative to the lowest polymorph listed for this composition in meV per atom: 0

---

Record 5
VASP calculation (PBE-GGA) on an optimized crystal structure of YSeI2N.

Cell lengths 6.153, 6.153, 4.117 Å; angles 90.00, 90.00, 90.00 degrees
Positions (direct):
Y: 0.000 0.000 0.000
Se: 0.500 0.500 0.500
I: 0.000 0.500 0.000
I: 0.500 0.000 0.000
N: 0.000 0.000 0.500

Results
Uncorrected formation energy in eV per atom: 0.244
Energy in eV per atom: -4.031
Magnetic moment in μB per cell: 0.00
Energy relative to the lowest polymorph listed for this composition in meV per atom: 0

---

Record 6
VASP calculation (PBE-GGA) on an optimized crystal structure of YSeIN2.

Cell lengths 4.224, 4.224, 5.254 Å; angles 90.00, 90.00, 90.00 degrees
Positions (direct):
Y: 0.000 0.000 0.000
Se: 0.500 0.500 0.500
I: 0.500 0.500 0.000
N: 0.000 0.500 0.500
N: 0.500 0.000 0.500

Results
Uncorrected formation energy in eV per atom: 1.114
Energy in eV per atom: -4.516
Magnetic moment in μB per cell: 0.00
Energy relative to the lowest polymorph listed for this composition in meV per atom: 380

---

Record 7
VASP calculation (PBE-GGA) on an optimized crystal structure of YSeIN2.

Cell lengths 4.178, 4.178, 5.374 Å; angles 90.00, 90.00, 90.00 degrees
Positions (direct):
Y: 0.000 0.000 0.000
Se: 0.500 0.500 0.000
I: 0.500 0.500 0.500
N: 0.000 0.500 0.500
N: 0.500 0.000 0.500

Results
Uncorrected formation energy in eV per atom: 0.899
Energy in eV per atom: -4.731
Magnetic moment in μB per cell: 0.00
Energy relative to the lowest polymorph listed for this composition in meV per atom: 165

---

Record 8
VASP calculation (PBE-GGA) on an optimized crystal structure of ZnSeIN2.

Cell lengths 3.919, 3.919, 6.678 Å; angles 90.00, 90.00, 90.00 degrees
Positions (direct):
Zn: 0.000 0.000 0.000
Se: 0.500 0.500 0.000
I: 0.500 0.500 0.500
N: 0.000 0.500 0.500
N: 0.500 0.000 0.500

Results
Uncorrected formation energy in eV per atom: 1.617
Energy in eV per atom: -2.975
Magnetic moment in μB per cell: 0.00
Energy relative to the lowest polymorph listed for this composition in meV per atom: 209